The following is a PBE calculation of an optimized crystal structure of MgZn3S4, from the Alexandria database.

a b c (Å): 5.508 5.508 6.747
angles (deg): 114.09 114.09 90.00
Atoms (fractional coordinates):
1 S 0.615 0.129 0.744
2 Mg 0.000 0.000 0.000
3 S 0.871 0.871 0.256
4 Zn 0.250 0.750 0.500
5 Zn 0.750 0.250 0.500
6 S 0.385 0.385 0.256
7 S 0.129 0.615 0.744
8 Zn 0.500 0.500 0.000

calculated volume = 167.14 Å³/cell
formation energy without anion corrections = -953 meV per atom
total moment = 0.0 μB/f.u.
symmetry = No. 121
crystal system = tetragonal

---

The following is a PBE calculation of an optimized crystal structure of MgZn3S, from the Alexandria database.

a b c (Å): 5.048 5.048 5.048
angles (deg): 90.00 90.00 90.00
Atoms (fractional coordinates):
1 S 0.500 0.500 0.500
2 Zn 0.500 0.000 0.000
3 Zn 0.000 0.000 0.500
4 Zn 0.000 0.500 0.000
5 Mg 0.000 0.000 0.000

calculated volume = 128.66 Å³/cell
polymorph energy (0 for the lowest one) = 0.369 eV per atom
formation energy without anion corrections = 719 meV per atom
total moment = 0.0 μB/f.u.
symmetry = No. 221
crystal system = cubic

---

The following is a PBE calculation of an optimized crystal structure of MgZn3S, from the Alexandria database.

a b c (Å): 4.809 4.809 4.809
angles (deg): 90.00 90.00 90.00
Atoms (fractional coordinates):
1 Zn 0.500 0.000 0.000
2 Mg 0.500 0.500 0.500
3 S 0.000 0.000 0.000
4 Zn 0.000 0.000 0.500
5 Zn 0.000 0.500 0.000

calculated volume = 111.25 Å³/cell
polymorph energy (0 for the lowest one) = 0.000 eV per atom
formation energy without anion corrections = 351 meV per atom
total moment = 0.0 μB/f.u.
symmetry = No. 221
crystal system = cubic

---

The following is a PBE calculation of an optimized crystal structure of MgZnS, from the Alexandria database.

a b c (Å): 4.121 4.121 9.128
angles (deg): 76.95 76.95 60.00
Atoms (fractional coordinates):
1 Zn 0.818 0.818 0.545
2 S 0.725 0.725 0.826
3 S 0.275 0.275 0.174
4 Zn 0.182 0.182 0.455
5 Mg 0.588 0.588 0.237
6 Mg 0.412 0.412 0.763

calculated volume = 129.64 Å³/cell
formation energy without anion corrections = -659 meV per atom
total moment = 0.0 μB/f.u.
symmetry = No. 166
crystal system = trigonal

---

The following is a PBE calculation of an optimized crystal structure of MgZnS3, from the Alexandria database.

a b c (Å): 4.665 4.665 4.665
angles (deg): 90.00 90.00 90.00
Atoms (fractional coordinates):
1 Mg 0.500 0.500 0.500
2 S 0.000 0.000 0.500
3 S 0.500 0.000 0.000
4 S 0.000 0.500 0.000
5 Zn 0.000 0.000 0.000

calculated volume = 101.54 Å³/cell
formation energy without anion corrections = 115 meV per atom
total moment = 0.0 μB/f.u.
symmetry = No. 221
crystal system = cubic

---

The following is a PBE calculation of an optimized crystal structure of MgZn3S4, from the Alexandria database.

a b c (Å): 6.320 6.320 6.302
angles (deg): 79.51 79.51 33.57
Atoms (fractional coordinates):
1 Zn 0.500 0.500 0.500
2 Zn 0.753 0.753 0.752
3 S 0.876 0.876 0.397
4 Zn 0.247 0.247 0.248
5 S 0.124 0.124 0.603
6 S 0.371 0.371 0.893
7 Mg 0.000 0.000 0.000
8 S 0.629 0.629 0.107

calculated volume = 136.65 Å³/cell
formation energy without anion corrections = -720 meV per atom
total moment = 0.0 μB/f.u.
symmetry = No. 12
crystal system = monoclinic

---

The following is a PBE calculation of an optimized crystal structure of MgZn3S4, from the Alexandria database.

a b c (Å): 5.508 5.508 5.508
angles (deg): 90.00 90.00 90.00
Atoms (fractional coordinates):
1 S 0.744 0.256 0.744
2 S 0.256 0.256 0.256
3 Mg 0.000 0.000 0.000
4 S 0.744 0.744 0.256
5 S 0.256 0.744 0.744
6 Zn 0.500 0.000 0.500
7 Zn 0.000 0.500 0.500
8 Zn 0.500 0.500 0.000

calculated volume = 167.15 Å³/cell
formation energy without anion corrections = -952 meV per atom
total moment = 0.0 μB/f.u.
symmetry = No. 215
crystal system = cubic

---

The following is a PBE calculation of an optimized crystal structure of MgZn3S4, from the Alexandria database.

a b c (Å): 3.893 6.365 6.754
angles (deg): 89.95 90.00 90.00
Atoms (fractional coordinates):
1 S 0.000 0.113 0.334
2 Mg 0.000 0.500 0.334
3 Zn 0.000 0.999 0.670
4 Zn 0.500 0.999 0.164
5 S 0.500 0.630 0.158
6 S 0.500 0.127 0.833
7 S 0.000 0.627 0.675
8 Zn 0.500 0.500 0.833

calculated volume = 167.36 Å³/cell
formation energy without anion corrections = -951 meV per atom
total moment = 0.0 μB/f.u.
symmetry = No. 6
crystal system = monoclinic